{"formula": "Y2RhWI", "functional": "PBEsol", "state": "relaxed", "raw_formation_energy_ev_per_atom": 0.932, "n_ef_per_ev_atom": 1.041, "lattice_angstrom": [[5.012, 0.000, 0.000], [0.000, 5.185, 0.000], [0.000, 0.000, 5.185]], "species": ["Y", "Y", "Rh", "I", "W"], "frac_coords": [[0.000, 0.500, 0.000], [0.000, 0.000, 0.500], [0.000, 0.000, 0.000], [0.500, 0.000, 0.000], [0.500, 0.500, 0.500]]}